First-principles (GGA+U) data for a relaxed BaFeF4 crystal, as listed in Alexandria.

- Electronic total energy: -5.679 eV/atom
- Mass density: 4.6 g/cm³
- Magnetic moment: 4.000 μB per formula unit

Cell: 7.9142 7.9142 5.8914 Å, 90.00 90.00 148.43°
With the nearest neighbours (Å) after each atom.
Atoms (fractional coordinates):
F 0.5326 0.4674 0.1477  2 Fe 2.02-2.20
F 0.3023 0.6977 0.7986  1 Fe 2.06
F 0.9173 0.0827 0.9807  2 Fe 2.15
F 0.6701 0.3299 0.7694  1 Fe 2.07
F 0.6977 0.3023 0.2986  1 Fe 2.06
F 0.0827 0.9173 0.4807  2 Fe 2.15
F 0.3299 0.6701 0.2695  1 Fe 2.07
F 0.4674 0.5326 0.6477  2 Fe 2.02-2.20
Ba 0.1532 0.8468 0.0365  8 F 2.67-2.90
Ba 0.8468 0.1532 0.5365  8 F 2.67-2.90
Fe 0.4142 0.5858 0.9945  6 F 2.02-2.20
Fe 0.5858 0.4142 0.4945  6 F 2.02-2.20